No. 1
Ho3ScIn2: relaxed, PBE.

Results
- DOS at the Fermi energy: 1.270 states/eV per atom
- Raw total energy: -4.160 eV per atom
- Volume: 170.4 Å³ per cell
- Energy relative to the lowest polymorph listed for this composition: 417 meV/atom
- Total magnetization: 0.0 μB/f.u.

Cell lengths 3.378, 5.482, 9.751 Å; angles 106.32, 99.98, 90.00 degrees
Positions (direct):
1 Sc 0.000 0.000 0.000
2 In 0.354 0.354 0.707
3 In 0.646 0.646 0.293
4 Ho 0.816 0.816 0.632
5 Ho 0.000 0.500 0.000
6 Ho 0.184 0.184 0.368

=====

No. 2
Ho3Sc4In4: relaxed, PBE.

Results
- DOS at the Fermi energy: 1.094 states/eV per atom
- Raw total energy: -4.815 eV per atom
- Volume: 285.5 Å³ per cell
- Total magnetization: 0.0 μB/f.u.

Cell lengths 5.066, 6.836, 9.277 Å; angles 111.62, 105.84, 90.00 degrees
Positions (direct):
1 Sc 0.321 0.547 0.641
2 Sc 0.679 0.906 0.359
3 Sc 0.679 0.453 0.359
4 Sc 0.321 0.094 0.641
5 In 0.184 0.684 0.368
6 In 0.816 0.316 0.632
7 In 0.500 0.784 0.000
8 In 0.500 0.216 0.000
9 Ho 0.111 0.111 0.221
10 Ho 0.000 0.500 0.000
11 Ho 0.889 0.889 0.779

=====

No. 3
Ho4ScIn2: relaxed, PBE.

Results
- DOS at the Fermi energy: 1.262 states/eV per atom
- Raw total energy: -4.129 eV per atom
- Volume: 207.3 Å³ per cell
- Energy relative to the lowest polymorph listed for this composition: 159 meV/atom
- Total magnetization: 0.0 μB/f.u.

Cell lengths 5.627, 5.627, 7.661 Å; angles 111.55, 111.55, 90.00 degrees
Positions (direct):
1 Ho 0.500 0.000 0.000
2 Ho 0.250 0.750 0.500
3 Ho 0.000 0.500 0.000
4 Ho 0.750 0.250 0.500
5 Sc 0.000 0.000 0.000
6 In 0.376 0.376 0.752
7 In 0.624 0.624 0.248

=====

No. 4
Ho2Sc3In: relaxed, PBE.

Results
- DOS at the Fermi energy: 1.564 states/eV per atom
- Raw total energy: -5.272 eV per atom
- Volume: 314.0 Å³ per cell
- Energy relative to the lowest polymorph listed for this composition: 19 meV/atom
- Total magnetization: 0.0 μB/f.u.

Cell lengths 6.209, 6.209, 10.473 Å; angles 115.21, 115.21, 64.10 degrees
Positions (direct):
1 Ho 0.245 0.755 0.000
2 Ho 0.755 0.245 0.000
3 Ho 0.750 0.250 0.500
4 Ho 0.250 0.750 0.500
5 Sc 0.345 0.345 0.167
6 Sc 0.166 0.166 0.332
7 Sc 0.822 0.822 0.167
8 Sc 0.178 0.178 0.833
9 Sc 0.655 0.655 0.833
10 Sc 0.834 0.834 0.668
11 In 0.329 0.329 0.659
12 In 0.671 0.671 0.341

=====

No. 5
HoSc2In9: relaxed, PBE.

Results
- DOS at the Fermi energy: 0.302 states/eV per atom
- Raw total energy: -3.826 eV per atom
- Volume: 284.4 Å³ per cell
- Total magnetization: 0.0 μB/f.u.

Cell lengths 4.561, 4.561, 13.671 Å; angles 90.00, 90.00, 90.00 degrees
Positions (direct):
1 In 0.500 0.000 0.500
2 In 0.000 0.500 0.500
3 In 0.500 0.500 0.000
4 In 0.500 0.000 0.172
5 In 0.000 0.500 0.172
6 In 0.500 0.500 0.335
7 In 0.500 0.000 0.828
8 In 0.000 0.500 0.828
9 In 0.500 0.500 0.665
10 Ho 0.000 0.000 0.000
11 Sc 0.000 0.000 0.664
12 Sc 0.000 0.000 0.336

=====

No. 6
HoScIn3: relaxed, PBE.

Results
- DOS at the Fermi energy: 0.776 states/eV per atom
- Raw total energy: -3.999 eV per atom
- Volume: 267.8 Å³ per cell
- Total magnetization: 0.0 μB/f.u.

Cell lengths 6.125, 7.105, 7.105 Å; angles 120.00, 90.00, 90.00 degrees
Positions (direct):
1 Sc 0.500 0.000 0.000
2 Sc 0.000 0.000 0.000
3 In 0.250 0.396 0.198
4 In 0.750 0.604 0.802
5 In 0.250 0.802 0.604
6 In 0.750 0.198 0.396
7 In 0.750 0.198 0.802
8 In 0.250 0.802 0.198
9 Ho 0.750 0.666 0.334
10 Ho 0.250 0.334 0.666

=====

No. 7
Ho8Sc2In: relaxed, PBE.

Results
- DOS at the Fermi energy: 1.423 states/eV per atom
- Raw total energy: -4.787 eV per atom
- Volume: 316.5 Å³ per cell
- Total magnetization: 0.0 μB/f.u.

Cell lengths 4.866, 7.743, 9.072 Å; angles 105.38, 105.56, 90.00 degrees
Positions (direct):
1 Ho 0.318 0.088 0.636
2 Ho 0.046 0.725 0.092
3 Ho 0.862 0.815 0.725
4 Ho 0.138 0.185 0.275
5 Ho 0.594 0.448 0.188
6 Ho 0.954 0.275 0.908
7 Ho 0.682 0.912 0.364
8 Ho 0.406 0.552 0.812
9 Sc 0.224 0.634 0.448
10 Sc 0.776 0.366 0.552
11 In 0.500 0.000 0.000

=====

No. 8
HoScIn: relaxed, PBE.

Results
- DOS at the Fermi energy: 1.148 states/eV per atom
- Raw total energy: -4.630 eV per atom
- Volume: 153.3 Å³ per cell
- Energy relative to the lowest polymorph listed for this composition: 288 meV/atom
- Total magnetization: 0.0 μB/f.u.

Cell lengths 4.695, 3.238, 10.084 Å; angles 90.00, 90.00, 90.00 degrees
Positions (direct):
1 Sc 0.000 0.500 0.638
2 Sc 0.000 0.500 0.362
3 Ho 0.500 0.500 0.845
4 Ho 0.500 0.500 0.155
5 In 0.500 0.000 0.500
6 In 0.000 0.000 0.000

=====

No. 9
HoSc9In2: relaxed, PBE.

Results
- DOS at the Fermi energy: 1.578 states/eV per atom
- Raw total energy: -5.745 eV per atom
- Volume: 289.2 Å³ per cell
- Total magnetization: 2.1 μB/f.u.

Cell lengths 4.551, 4.551, 13.962 Å; angles 90.00, 90.00, 90.00 degrees
Each line ends with the local moment (μB).
Positions (direct):
1 Ho 0.000 0.000 0.000  -0.01
2 Sc 0.500 0.000 0.825  0.10
3 Sc 0.500 0.500 0.660  0.28
4 Sc 0.500 0.000 0.500  0.25
5 Sc 0.000 0.500 0.500  0.25
6 Sc 0.000 0.500 0.175  0.10
7 Sc 0.500 0.500 0.340  0.28
8 Sc 0.000 0.500 0.825  0.10
9 Sc 0.500 0.500 0.000  -0.03
10 Sc 0.500 0.000 0.175  0.10
11 In 0.000 0.000 0.339  -0.02
12 In 0.000 0.000 0.661  -0.02

=====

No. 10
Ho6ScIn: relaxed, PBE.

Results
- DOS at the Fermi energy: 1.151 states/eV per atom
- Raw total energy: -4.683 eV per atom
- Volume: 230.5 Å³ per cell
- Energy relative to the lowest polymorph listed for this composition: 0 meV/atom
- Total magnetization: 0.0 μB/f.u.

Cell lengths 4.842, 4.842, 9.830 Å; angles 90.00, 90.00, 90.00 degrees
Positions (direct):
1 Ho 0.000 0.500 0.749
2 Ho 0.500 0.500 0.000
3 Ho 0.000 0.500 0.251
4 Ho 0.500 0.500 0.500
5 Ho 0.500 0.000 0.251
6 Ho 0.500 0.000 0.749
7 In 0.000 0.000 0.500
8 Sc 0.000 0.000 0.000

=====

No. 11
HoSc3In: relaxed, PBE.

Results
- DOS at the Fermi energy: 1.193 states/eV per atom
- Raw total energy: -5.414 eV per atom
- Volume: 253.4 Å³ per cell
- Energy relative to the lowest polymorph listed for this composition: 0 meV/atom
- Total magnetization: 0.0 μB/f.u.

Cell lengths 5.163, 6.207, 9.454 Å; angles 68.29, 74.15, 65.42 degrees
Positions (direct):
1 Sc 0.341 0.280 0.037
2 Sc 0.659 0.720 0.963
3 Sc 0.222 0.823 0.732
4 Sc 0.778 0.177 0.268
5 Sc 0.141 0.314 0.404
6 Sc 0.859 0.686 0.596
7 In 0.942 0.241 0.875
8 In 0.058 0.759 0.125
9 Ho 0.443 0.759 0.355
10 Ho 0.557 0.241 0.645

=====

The calculation returns the following calculated density values, one per record and in order: 7.50, 6.60, 7.48, 6.13, 7.52, 6.87, 8.00, 7.04, 4.59, 8.28, 5.43 g/cm³.
The calculation returns the following energy of formation values, one per record and in order: 97, -269, 173, -123, -335, -174, -58, -81, -159, -116, -151 meV per atom.